# Tb2SmIO8

Tb2SmIO8 after structural relaxation (PBE, the Alexandria database).

Values from the calculation:
Spin magnetization (μB/cell): 0.00
E_form (uncorrected) (eV per atom): -2.314
Calculated density (g cm⁻³): 6.75

abc: 7.1514 7.1799 6.9282
angles: 90.00 90.00 90.00
Space group Cmmm (No. 65)
Asymmetric unit:
Tb 0.0000 0.0000 0.2494 [4 per cell]
Sm 0.0000 0.5000 0.0000 [2 per cell]
I 0.0000 0.5000 0.5000 [2 per cell]
O 0.0000 0.3189 0.2965 [8 per cell]
O 0.1868 0.0000 0.0000 [4 per cell]
O 0.2342 0.0000 0.5000 [4 per cell]

# MgCd5In

MgCd5In after structural relaxation (PBE, the Alexandria database).

Values from the calculation:
Spin magnetization (μB/cell): 0.00
ΔE_f (eV per atom): 0.0203
Calculated density (g cm⁻³): 7.01

abc: 7.0191 8.5518 11.4976
angles: 90.00 105.75 90.00
Space group C2/c (No. 15)
Asymmetric unit:
Mg 0.0000 0.2083 0.2500 [4 per cell]
Cd 0.0000 0.1520 0.7500 [4 per cell]
Cd 0.1129 0.4718 0.6545 [8 per cell]
Cd 0.1895 0.1025 0.5485 [8 per cell]
In 0.2500 0.2500 0.0000 [4 per cell]